## MgCuAu (GGA-PBE)

Data for a geometry-optimized MgCuAu structure.

Magnetization   0.0 μB per cell
Density of states at the Fermi level   0.26 states/eV per atom
Excess energy over the best structure of this formula in the dataset   0 meV/atom
Formation energy   -0.294 eV per atom

Cell: 4.915 4.915 4.915 Å, 143.72 136.03 58.28°
Element x y z (fractional)
Mg: 0.000 0.000 0.000
Cu: 0.334 0.334 0.000
Au: 0.671 0.671 0.000